## YHfSc2Fe (GGA-PBE)

Data for a geometry-optimized YHfSc2Fe structure.

a b c (Å): 4.9487 4.9487 4.8408
angles (deg): 90.00 90.00 90.00
With the nearest neighbours (Å) after each atom.
Element x y z (fractional)
Y: 0.5000 0.5000 0.5000  8 Sc 3.46, 4 Hf 3.50
Sc: 0.0000 0.5000 0.0000  2 Fe 2.47
Sc: 0.5000 0.0000 0.0000  2 Fe 2.47
Hf: 0.0000 0.0000 0.5000  2 Fe 2.42
Fe: 0.0000 0.0000 0.0000  2 Hf 2.42, 4 Sc 2.47

Values from the calculation:
As for the calculated total energy: -7.454 eV/atom. For the energy of formation from the pure elements, the calculation gives 0.272 eV per formula unit. The calculated volume comes out at 23.709 Å³ per atom. As for the symmetry: P4/mmm (123). For the density of states at the Fermi level, the calculation gives 6.3 states/eV/cell.